VASP calculation (PBE) on Ca3ZrIn after structural relaxation.

Cell lengths 5.710, 5.710, 5.710 Å; angles 90.00, 90.00, 90.00 degrees
Atoms (fractional coordinates):
Zr (0.000, 0.000, 0.000)
Ca (0.000, 0.500, 0.000)
Ca (0.000, 0.000, 0.500)
Ca (0.500, 0.000, 0.000)
In (0.500, 0.500, 0.500)

E_tot	-2.665	eV per atom
symmetry	Pm-3m
DFT formation energy	0.794	eV per atom
DOS at the Fermi energy	5.0	states/eV/cell


VASP calculation (PBE) on CaZrIn after structural relaxation.

Cell lengths 5.173, 5.173, 3.446 Å; angles 90.00, 90.00, 120.00 degrees
Atoms (fractional coordinates):
Ca (0.000, 0.000, 0.015)
In (0.667, 0.333, 0.417)
Zr (0.333, 0.667, 0.568)

E_tot	-4.383	eV per atom
symmetry	P3m1
DFT formation energy	0.046	eV per atom
DOS at the Fermi energy	3.2	states/eV/cell